# 1
First-principles (PBE) data for a geometry-optimized RbIn3Rh structure, as listed in the Alexandria database. Values from VASP.

Geometry as Quantum ESPRESSO input:
```
&SYSTEM
  ibrav = 0, nat = 5, ntyp = 3
/
ATOMIC_SPECIES
Rh 102.91 Rh.upf
In 114.82 In.upf
Rb 85.47 Rb.upf
CELL_PARAMETERS angstrom
6.007 0.000 0.000
0.000 6.007 0.000
0.000 0.000 6.007
ATOMIC_POSITIONS crystal
Rh 0.500 0.500 0.500
In 0.000 0.000 0.500
In 0.000 0.500 0.000
In 0.500 0.000 0.000
Rb 0.000 0.000 0.000
```

## Properties
- E_form: 1.66 eV per atom
- Crystal system: cubic
- Volume: 217 Å³/cell
- Calculated density: 4.08 g/cm3
- SG: Pm-3m
- Energy above the most stable polymorph in this dataset: 1.868 eV per atom


# 2
First-principles (PBE) data for a geometry-optimized CuS6Br2 structure, as listed in the Alexandria database. Values from VASP.

Geometry as Quantum ESPRESSO input:
```
&SYSTEM
  ibrav = 0, nat = 18, ntyp = 3
/
ATOMIC_SPECIES
S 32.06 S.upf
Br 79.90 Br.upf
Cu 63.55 Cu.upf
CELL_PARAMETERS angstrom
11.406 -3.683 0.478
2.206 2.919 2.400
-0.479 -3.683 11.406
ATOMIC_POSITIONS crystal
S 0.587 0.491 0.339
S 0.890 0.363 0.223
S 0.413 0.509 0.661
S 0.110 0.637 0.777
S 0.223 0.863 0.890
S 0.339 0.991 0.587
S 0.636 0.507 0.060
S 0.364 0.493 0.940
S 0.940 0.993 0.364
S 0.777 0.137 0.110
S 0.661 0.009 0.413
S 0.060 0.007 0.636
Br 0.124 0.686 0.331
Br 0.331 0.186 0.124
Br 0.876 0.314 0.669
Br 0.669 0.814 0.876
Cu 0.729 0.750 0.271
Cu 0.271 0.250 0.729
```

## Properties
- Crystal system: monoclinic
- Volume: 574 Å³/cell
- Calculated density: 2.40 g/cm3
- Formation energy (no corrections): 0.080 eV/atom
- SG: C2/c


# 3
First-principles (PBE) data for a geometry-optimized CoTeRu2 structure, as listed in the Alexandria database. Values from VASP.

Geometry as Quantum ESPRESSO input:
```
&SYSTEM
  ibrav = 0, nat = 4, ntyp = 3
/
ATOMIC_SPECIES
Ru 101.07 Ru.upf
Te 127.60 Te.upf
Co 58.93 Co.upf
CELL_PARAMETERS angstrom
-0.977 0.847 3.423
-1.968 -2.192 -0.020
1.948 -5.705 1.967
ATOMIC_POSITIONS crystal
Ru 0.000 0.010 0.991
Ru 0.500 0.281 0.220
Te 0.000 0.481 0.519
Co 0.500 0.729 0.770
```

## Properties
- Crystal system: monoclinic
- Volume: 61 Å³/cell
- Calculated density: 10.65 g/cm3
- Formation energy (no corrections): 0.394 eV/atom
- SG: Pm


# 4
First-principles (PBE) data for a geometry-optimized Mg2AsHRh structure, as listed in the Alexandria database. Values from VASP.

Geometry as Quantum ESPRESSO input:
```
&SYSTEM
  ibrav = 0, nat = 5, ntyp = 4
/
ATOMIC_SPECIES
H 1.01 H.upf
Mg 24.30 Mg.upf
Rh 102.91 Rh.upf
As 74.92 As.upf
CELL_PARAMETERS angstrom
4.528 0.000 0.000
0.000 4.528 0.000
0.000 0.000 3.483
ATOMIC_POSITIONS crystal
H 0.000 0.000 0.000
Mg 0.000 0.500 0.000
Mg 0.500 0.000 0.000
Rh 0.000 0.000 0.500
As 0.500 0.500 0.500
```

## Properties
- Crystal system: tetragonal
- Volume: 71 Å³/cell
- Calculated density: 5.29 g/cm3
- SG: P4/mmm
- Energy above the most stable polymorph in this dataset: 0.000 eV per atom


# 5
First-principles (PBE) data for a geometry-optimized Zr2BeIr structure, as listed in the Alexandria database. Values from VASP.

Geometry as Quantum ESPRESSO input:
```
&SYSTEM
  ibrav = 0, nat = 8, ntyp = 3
/
ATOMIC_SPECIES
Ir 192.22 Ir.upf
Zr 91.22 Zr.upf
Be 9.01 Be.upf
CELL_PARAMETERS angstrom
-1.460 -0.763 7.166
5.222 -5.151 0.515
3.725 -1.029 4.422
ATOMIC_POSITIONS crystal
Ir 0.000 0.000 0.000
Ir 0.750 0.250 0.500
Zr 0.875 0.886 0.750
Zr 0.636 0.125 0.250
Zr 0.375 0.364 0.750
Zr 0.114 0.625 0.250
Be 0.250 0.750 0.500
Be 0.500 0.500 0.000
```

## Properties
- E_form: 0.12 eV per atom
- Crystal system: tetragonal
- Volume: 148 Å³/cell
- Calculated density: 8.63 g/cm3
- SG: I-42d


# 6
First-principles (PBE) data for a geometry-optimized Hf2MgTi2 structure, as listed in the Alexandria database. Values from VASP.

Geometry as Quantum ESPRESSO input:
```
&SYSTEM
  ibrav = 0, nat = 5, ntyp = 3
/
ATOMIC_SPECIES
Ti 47.87 Ti.upf
Hf 178.49 Hf.upf
Mg 24.30 Mg.upf
CELL_PARAMETERS angstrom
2.996 0.000 0.000
0.000 4.680 -0.009
0.000 -2.332 7.215
ATOMIC_POSITIONS crystal
Ti 0.000 0.789 0.578
Ti 0.000 0.211 0.422
Hf 0.500 0.613 0.225
Hf 0.500 0.387 0.775
Mg 0.000 0.000 0.000
```

## Properties
- E_form: 0.06 eV per atom
- Crystal system: orthorhombic
- Volume: 101 Å³/cell
- Calculated density: 7.84 g/cm3
- SG: Cmmm
- Energy above the most stable polymorph in this dataset: 0.000 eV per atom


Look up the calculated density of the second one.
2.40 g/cm3


calculated density of number 6 (Hf2MgTi2)?
7.84 g/cm3